# 1
First-principles (SCAN) data for a crystal of ZrCrMo relaxed with PBEsol, as listed in Alexandria.

## Properties
- calculated density (g cm⁻³) = 8.18
- raw total energy (eV per atom) = -28.043
- space group = Imma (74)
- energy relative to the lowest polymorph listed for this composition (eV per formula unit) = 0.000
- magnetic moment (μB/f.u.) = 0.001

Structure (CIF):
```
data_ZrCrMo
_chemical_formula_sum 'Zr2 Cr2 Mo2'
_space_group_name_H-M_alt 'P 1'
_space_group_IT_number 1
_cell_length_a 5.152
_cell_length_b 5.152
_cell_length_c 5.152
_cell_angle_alpha 120.38
_cell_angle_beta 119.05
_cell_angle_gamma 90.50
loop_
_space_group_symop_operation_xyz
'x,y,z'
loop_
_atom_site_label
_atom_site_type_symbol
_atom_site_fract_x
_atom_site_fract_y
_atom_site_fract_z
_atom_site_occupancy
Zr1 Zr 0.373 0.123 0.250 1
Zr2 Zr 0.627 0.877 0.750 1
Cr1 Cr 0.000 0.000 0.500 1
Cr2 Cr 0.000 0.500 0.000 1
Mo1 Mo 0.000 0.500 0.500 1
Mo2 Mo 0.500 0.500 0.000 1
```

# 2
First-principles (SCAN) data for a crystal of ZrCrMo relaxed with PBEsol, as listed in Alexandria.

## Properties
- calculated density (g cm⁻³) = 6.82
- raw total energy (eV per atom) = -26.813
- space group = F-43m (216)
- energy relative to the lowest polymorph listed for this composition (eV per formula unit) = 3.689
- magnetic moment (μB/f.u.) = 1.416

Structure (CIF):
```
data_ZrCrMo
_chemical_formula_sum 'Zr1 Cr1 Mo1'
_space_group_name_H-M_alt 'P 1'
_space_group_IT_number 1
_cell_length_a 4.350
_cell_length_b 4.350
_cell_length_c 4.350
_cell_angle_alpha 60.00
_cell_angle_beta 60.00
_cell_angle_gamma 60.00
loop_
_space_group_symop_operation_xyz
'x,y,z'
loop_
_atom_site_label
_atom_site_type_symbol
_atom_site_fract_x
_atom_site_fract_y
_atom_site_fract_z
_atom_site_occupancy
Zr1 Zr 0.000 0.000 0.000 1
Cr1 Cr 0.750 0.750 0.750 1
Mo1 Mo 0.250 0.250 0.250 1
```

# 3
First-principles (SCAN) data for a crystal of ZrCr4Mo relaxed with PBEsol, as listed in Alexandria.

## Properties
- calculated density (g cm⁻³) = 8.05
- raw total energy (eV per atom) = -23.108
- space group = F-43m (216)
- magnetic moment (μB/f.u.) = 0.000

Structure (CIF):
```
data_ZrCr4Mo
_chemical_formula_sum 'Zr1 Cr4 Mo1'
_space_group_name_H-M_alt 'P 1'
_space_group_IT_number 1
_cell_length_a 4.867
_cell_length_b 4.867
_cell_length_c 4.867
_cell_angle_alpha 60.00
_cell_angle_beta 60.00
_cell_angle_gamma 60.00
loop_
_space_group_symop_operation_xyz
'x,y,z'
loop_
_atom_site_label
_atom_site_type_symbol
_atom_site_fract_x
_atom_site_fract_y
_atom_site_fract_z
_atom_site_occupancy
Zr1 Zr 0.000 0.000 0.000 1
Cr1 Cr 0.376 0.376 0.376 1
Cr2 Cr 0.376 0.376 0.873 1
Cr3 Cr 0.376 0.873 0.376 1
Cr4 Cr 0.873 0.376 0.376 1
Mo1 Mo 0.750 0.750 0.750 1
```

# 4
First-principles (SCAN) data for a crystal of ZrCr2Mo relaxed with PBEsol, as listed in Alexandria.

## Properties
- calculated density (g cm⁻³) = 8.33
- raw total energy (eV per atom) = -25.259
- space group = C2/m (12)
- magnetic moment (μB/f.u.) = 0.000

Structure (CIF):
```
data_ZrCr2Mo
_chemical_formula_sum 'Zr1 Cr2 Mo1'
_space_group_name_H-M_alt 'P 1'
_space_group_IT_number 1
_cell_length_a 4.958
_cell_length_b 4.958
_cell_length_c 2.772
_cell_angle_alpha 101.00
_cell_angle_beta 101.00
_cell_angle_gamma 114.51
loop_
_space_group_symop_operation_xyz
'x,y,z'
loop_
_atom_site_label
_atom_site_type_symbol
_atom_site_fract_x
_atom_site_fract_y
_atom_site_fract_z
_atom_site_occupancy
Zr1 Zr 0.000 0.000 0.000 1
Cr1 Cr 0.000 0.500 0.500 1
Cr2 Cr 0.500 0.000 0.500 1
Mo1 Mo 0.500 0.500 0.000 1
```

# 5
First-principles (SCAN) data for a crystal of Cr3N2 relaxed with PBEsol, as listed in Alexandria.

## Properties
- calculated density (g cm⁻³) = 7.04
- raw total energy (eV per atom) = -15.199
- space group = C2/m (12)
- energy relative to the lowest polymorph listed for this composition (eV per formula unit) = 0.315
- magnetic moment (μB/f.u.) = 0.350
- uncorrected formation energy (meV/atom) = -452

Structure (CIF):
```
data_Cr3N2
_chemical_formula_sum 'Cr9 N6'
_space_group_name_H-M_alt 'P 1'
_space_group_IT_number 1
_cell_length_a 6.743
_cell_length_b 6.743
_cell_length_c 7.487
_cell_angle_alpha 101.59
_cell_angle_beta 101.59
_cell_angle_gamma 23.02
loop_
_space_group_symop_operation_xyz
'x,y,z'
loop_
_atom_site_label
_atom_site_type_symbol
_atom_site_fract_x
_atom_site_fract_y
_atom_site_fract_z
_atom_site_occupancy
Cr1 Cr 0.000 0.000 0.000 1
Cr2 Cr 0.041 0.041 0.660 1
Cr3 Cr 0.301 0.301 0.391 1
Cr4 Cr 0.332 0.332 0.048 1
Cr5 Cr 0.373 0.373 0.735 1
Cr6 Cr 0.627 0.627 0.265 1
Cr7 Cr 0.668 0.668 0.952 1
Cr8 Cr 0.699 0.699 0.609 1
Cr9 Cr 0.959 0.959 0.340 1
N1 N 0.114 0.114 0.463 1
N2 N 0.210 0.210 0.152 1
N3 N 0.475 0.475 0.172 1
N4 N 0.525 0.525 0.828 1
N5 N 0.790 0.790 0.848 1
N6 N 0.886 0.886 0.537 1
```

# 6
First-principles (SCAN) data for a crystal of Cr3N2 relaxed with PBEsol, as listed in Alexandria.

## Properties
- calculated density (g cm⁻³) = 6.92
- raw total energy (eV per atom) = -15.194
- space group = R-3c (167)
- energy relative to the lowest polymorph listed for this composition (eV per formula unit) = 0.338
- magnetic moment (μB/f.u.) = 0.000
- uncorrected formation energy (meV/atom) = -447

Structure (CIF):
```
data_Cr3N2
_chemical_formula_sum 'Cr6 N4'
_space_group_name_H-M_alt 'P 1'
_space_group_IT_number 1
_cell_length_a 5.413
_cell_length_b 5.413
_cell_length_c 5.413
_cell_angle_alpha 50.96
_cell_angle_beta 50.96
_cell_angle_gamma 50.96
loop_
_space_group_symop_operation_xyz
'x,y,z'
loop_
_atom_site_label
_atom_site_type_symbol
_atom_site_fract_x
_atom_site_fract_y
_atom_site_fract_z
_atom_site_occupancy
Cr1 Cr 0.074 0.750 0.426 1
Cr2 Cr 0.250 0.574 0.926 1
Cr3 Cr 0.426 0.074 0.750 1
Cr4 Cr 0.574 0.926 0.250 1
Cr5 Cr 0.750 0.426 0.074 1
Cr6 Cr 0.926 0.250 0.574 1
N1 N 0.159 0.159 0.159 1
N2 N 0.341 0.341 0.341 1
N3 N 0.659 0.659 0.659 1
N4 N 0.841 0.841 0.841 1
```

# 7
First-principles (SCAN) data for a crystal of Cr3N2 relaxed with PBEsol, as listed in Alexandria.

## Properties
- calculated density (g cm⁻³) = 6.87
- raw total energy (eV per atom) = -15.262
- space group = P-3m1 (164)
- energy relative to the lowest polymorph listed for this composition (eV per formula unit) = 0.000
- magnetic moment (μB/f.u.) = 2.872
- uncorrected formation energy (meV/atom) = -515

Structure (CIF):
```
data_Cr3N2
_chemical_formula_sum 'Cr3 N2'
_space_group_name_H-M_alt 'P 1'
_space_group_IT_number 1
_cell_length_a 2.771
_cell_length_b 2.771
_cell_length_c 6.691
_cell_angle_alpha 90.00
_cell_angle_beta 90.00
_cell_angle_gamma 120.00
loop_
_space_group_symop_operation_xyz
'x,y,z'
loop_
_atom_site_label
_atom_site_type_symbol
_atom_site_fract_x
_atom_site_fract_y
_atom_site_fract_z
_atom_site_occupancy
Cr1 Cr 0.000 0.000 0.000 1
Cr2 Cr 0.333 0.667 0.652 1
Cr3 Cr 0.667 0.333 0.348 1
N1 N 0.333 0.667 0.185 1
N2 N 0.667 0.333 0.815 1
```

# 8
First-principles (SCAN) data for a crystal of NaCrN3 relaxed with PBEsol, as listed in Alexandria.

## Properties
- calculated density (g cm⁻³) = 3.26
- raw total energy (eV per atom) = -7.487
- space group = Pm-3m (221)
- magnetic moment (μB/f.u.) = 4.061
- uncorrected formation energy (meV/atom) = 2608

Structure (CIF):
```
data_NaCrN3
_chemical_formula_sum 'Na1 Cr1 N3'
_space_group_name_H-M_alt 'P 1'
_space_group_IT_number 1
_cell_length_a 3.906
_cell_length_b 3.906
_cell_length_c 3.906
_cell_angle_alpha 90.00
_cell_angle_beta 90.00
_cell_angle_gamma 90.00
loop_
_space_group_symop_operation_xyz
'x,y,z'
loop_
_atom_site_label
_atom_site_type_symbol
_atom_site_fract_x
_atom_site_fract_y
_atom_site_fract_z
_atom_site_occupancy
Na1 Na 0.000 0.000 0.000 1
Cr1 Cr 0.500 0.500 0.500 1
N1 N 0.000 0.000 0.500 1
N2 N 0.000 0.500 0.000 1
N3 N 0.500 0.000 0.000 1
```

# 9
First-principles (SCAN) data for a crystal of NaCrN2 relaxed with PBEsol, as listed in Alexandria.

## Properties
- calculated density (g cm⁻³) = 3.25
- raw total energy (eV per atom) = -10.864
- space group = I-42d (122)
- magnetic moment (μB/f.u.) = 1.001
- uncorrected formation energy (meV/atom) = -568

Structure (CIF):
```
data_NaCrN2
_chemical_formula_sum 'Na2 Cr2 N4'
_space_group_name_H-M_alt 'P 1'
_space_group_IT_number 1
_cell_length_a 5.463
_cell_length_b 5.463
_cell_length_c 5.463
_cell_angle_alpha 124.97
_cell_angle_beta 124.97
_cell_angle_gamma 81.59
loop_
_space_group_symop_operation_xyz
'x,y,z'
loop_
_atom_site_label
_atom_site_type_symbol
_atom_site_fract_x
_atom_site_fract_y
_atom_site_fract_z
_atom_site_occupancy
Na1 Na 0.000 0.000 0.000 1
Na2 Na 0.750 0.250 0.500 1
Cr1 Cr 0.250 0.750 0.500 1
Cr2 Cr 0.500 0.500 0.000 1
N1 N 0.249 0.125 0.624 1
N2 N 0.375 0.751 0.876 1
N3 N 0.501 0.625 0.376 1
N4 N 0.875 0.499 0.124 1
```

# 10
First-principles (SCAN) data for a crystal of Na2CrSiN relaxed with PBEsol, as listed in Alexandria.

## Properties
- calculated density (g cm⁻³) = 2.02
- raw total energy (eV per atom) = -8.611
- space group = P4/mmm (123)
- magnetic moment (μB/f.u.) = 4.759
- uncorrected formation energy (meV/atom) = 613

Structure (CIF):
```
data_Na2CrSiN
_chemical_formula_sum 'Na2 Cr1 Si1 N1'
_space_group_name_H-M_alt 'P 1'
_space_group_IT_number 1
_cell_length_a 5.838
_cell_length_b 5.838
_cell_length_c 3.380
_cell_angle_alpha 90.00
_cell_angle_beta 90.00
_cell_angle_gamma 90.00
loop_
_space_group_symop_operation_xyz
'x,y,z'
loop_
_atom_site_label
_atom_site_type_symbol
_atom_site_fract_x
_atom_site_fract_y
_atom_site_fract_z
_atom_site_occupancy
Na1 Na 0.000 0.500 0.000 1
Na2 Na 0.500 0.000 0.000 1
Cr1 Cr 0.000 0.000 0.500 1
Si1 Si 0.500 0.500 0.000 1
N1 N 0.500 0.500 0.500 1
```

# 11
First-principles (SCAN) data for a crystal of NaZr2CrN relaxed with PBEsol, as listed in Alexandria.

## Properties
- calculated density (g cm⁻³) = 4.42
- raw total energy (eV per atom) = -16.957
- space group = P4/mmm (123)
- magnetic moment (μB/f.u.) = 1.424
- uncorrected formation energy (meV/atom) = 1700

Structure (CIF):
```
data_NaZr2CrN
_chemical_formula_sum 'Na1 Zr2 Cr1 N1'
_space_group_name_H-M_alt 'P 1'
_space_group_IT_number 1
_cell_length_a 4.610
_cell_length_b 4.610
_cell_length_c 4.801
_cell_angle_alpha 90.00
_cell_angle_beta 90.00
_cell_angle_gamma 90.00
loop_
_space_group_symop_operation_xyz
'x,y,z'
loop_
_atom_site_label
_atom_site_type_symbol
_atom_site_fract_x
_atom_site_fract_y
_atom_site_fract_z
_atom_site_occupancy
Na1 Na 0.000 0.000 0.000 1
Zr1 Zr 0.000 0.500 0.500 1
Zr2 Zr 0.500 0.000 0.500 1
Cr1 Cr 0.000 0.000 0.500 1
N1 N 0.500 0.500 0.000 1
```

# 12
First-principles (SCAN) data for a crystal of Nb3Cr3N relaxed with PBEsol, as listed in Alexandria.

## Properties
- calculated density (g cm⁻³) = 8.08
- raw total energy (eV per atom) = -23.808
- space group = Fd-3m (227)
- magnetic moment (μB/f.u.) = 0.005
- uncorrected formation energy (meV/atom) = -403

Structure (CIF):
```
data_Nb3Cr3N
_chemical_formula_sum 'Nb12 Cr12 N4'
_space_group_name_H-M_alt 'P 1'
_space_group_IT_number 1
_cell_length_a 8.051
_cell_length_b 8.051
_cell_length_c 8.051
_cell_angle_alpha 60.00
_cell_angle_beta 60.00
_cell_angle_gamma 60.00
loop_
_space_group_symop_operation_xyz
'x,y,z'
loop_
_atom_site_label
_atom_site_type_symbol
_atom_site_fract_x
_atom_site_fract_y
_atom_site_fract_z
_atom_site_occupancy
Nb1 Nb 0.068 0.068 0.682 1
Nb2 Nb 0.068 0.682 0.068 1
Nb3 Nb 0.068 0.682 0.682 1
Nb4 Nb 0.318 0.318 0.932 1
Nb5 Nb 0.318 0.932 0.318 1
Nb6 Nb 0.318 0.932 0.932 1
Nb7 Nb 0.682 0.068 0.068 1
Nb8 Nb 0.682 0.068 0.682 1
Nb9 Nb 0.682 0.682 0.068 1
Nb10 Nb 0.932 0.318 0.318 1
Nb11 Nb 0.932 0.318 0.932 1
Nb12 Nb 0.932 0.932 0.318 1
Cr1 Cr 0.000 0.500 0.500 1
Cr2 Cr 0.297 0.297 0.297 1
Cr3 Cr 0.297 0.297 0.609 1
Cr4 Cr 0.297 0.609 0.297 1
Cr5 Cr 0.391 0.703 0.703 1
Cr6 Cr 0.500 0.000 0.500 1
Cr7 Cr 0.500 0.500 0.000 1
Cr8 Cr 0.500 0.500 0.500 1
Cr9 Cr 0.609 0.297 0.297 1
Cr10 Cr 0.703 0.391 0.703 1
Cr11 Cr 0.703 0.703 0.391 1
Cr12 Cr 0.703 0.703 0.703 1
N1 N 0.000 0.000 0.000 1
N2 N 0.000 0.000 0.500 1
N3 N 0.000 0.500 0.000 1
N4 N 0.500 0.000 0.000 1
```

# 13
First-principles (SCAN) data for a crystal of Nb2CrN relaxed with PBEsol, as listed in Alexandria.

## Properties
- calculated density (g cm⁻³) = 8.06
- raw total energy (eV per atom) = -22.689
- space group = Fm-3m (225)
- magnetic moment (μB/f.u.) = 0.001
- uncorrected formation energy (meV/atom) = 795

Structure (CIF):
```
data_Nb2CrN
_chemical_formula_sum 'Nb2 Cr1 N1'
_space_group_name_H-M_alt 'P 1'
_space_group_IT_number 1
_cell_length_a 4.187
_cell_length_b 4.187
_cell_length_c 4.187
_cell_angle_alpha 60.00
_cell_angle_beta 60.00
_cell_angle_gamma 60.00
loop_
_space_group_symop_operation_xyz
'x,y,z'
loop_
_atom_site_label
_atom_site_type_symbol
_atom_site_fract_x
_atom_site_fract_y
_atom_site_fract_z
_atom_site_occupancy
Nb1 Nb 0.250 0.250 0.250 1
Nb2 Nb 0.750 0.750 0.750 1
Cr1 Cr 0.000 0.000 0.000 1
N1 N 0.500 0.500 0.500 1
```